(1)
Entry from Alexandria: Sm2Pd2Au after structural relaxation (PBE).

The structure belongs to space group P4/mbm (No. 127); the cell edges are 7.680, 7.680 and 3.808 Å and the angles 90.00°, 90.00° and 90.00°. The asymmetric unit holds Sm at (0.176, 0.324, 0.000), Pd at (0.128, 0.628, 0.500) and Au at (0.000, 0.000, 0.500).

As for the formation energy from the elements: -404 kJ/mol of formula units. For the magnetic moment, the calculation gives 0.00 μB/cell.


(2)
Entry from Alexandria: SmPd8Au6 after structural relaxation (PBE).

The structure belongs to space group P-3 (No. 147); the cell edges are 7.7048, 7.7048 and 5.3178 Å and the angles 90.00°, 90.00° and 120.00°. The asymmetric unit holds Sm at (0.0000, 0.0000, 0.0000), Pd at (0.0467, 0.7492, 0.6608), Pd at (0.3333, 0.6667, 0.7525) and Au at (0.0986, 0.6546, 0.1753).

As for the formation energy from the elements: -162 kJ/mol of formula units. For the magnetic moment, the calculation gives 0.00 μB/cell.


(3)
Entry from Alexandria: SmPdAu after structural relaxation (PBE).

The structure belongs to space group Cmcm (No. 63); the cell edges are 5.220, 8.509 and 5.772 Å and the angles 90.00°, 90.00° and 90.00°. The asymmetric unit holds Sm at (0.000, 0.158, 0.250), Pd at (0.000, 0.190, 0.750) and Au at (0.000, 0.500, 0.000).

As for the formation energy from the elements: -219 kJ/mol of formula units. For the magnetic moment, the calculation gives 0.00 μB/cell. The distance to the lowest polymorph of the same formula comes out at 63 meV/atom.


(4)
Entry from Alexandria: Sm2Pd3Au9 after structural relaxation (PBE).

The structure belongs to space group C2/c (No. 15); the cell edges are 14.485, 7.759 and 11.120 Å and the angles 90.00°, 117.86° and 90.00°. The asymmetric unit holds Sm at (0.180, 0.062, 0.237), Pd at (0.093, 0.226, 0.526), Pd at (0.250, 0.250, 0.000), Au at (0.000, 0.278, 0.250), Au at (0.055, 0.083, 0.899), Au at (0.097, 0.357, 0.750), Au at (0.100, 0.403, 0.055) and Au at (0.217, 0.402, 0.433).

As for the formation energy from the elements: -565 kJ/mol of formula units. For the magnetic moment, the calculation gives 0.00 μB/cell.


(5)
Entry from Alexandria: Sm6Pd5Au after structural relaxation (PBE).

The structure belongs to space group C2/m (No. 12); the cell edges are 16.062, 7.195 and 5.094 Å and the angles 90.00°, 108.16° and 90.00°. The asymmetric unit holds Sm at (0.000, 0.246, 0.000), Sm at (0.168, 0.248, 0.668), Pd at (0.000, 0.000, 0.500), Pd at (0.166, 0.500, 0.166), Pd at (0.167, 0.000, 0.166) and Au at (0.000, 0.500, 0.500).

As for the formation energy from the elements: -910 kJ/mol of formula units. For the magnetic moment, the calculation gives 0.00 μB/cell. The distance to the lowest polymorph of the same formula comes out at 0 meV/atom.


(6)
Entry from Alexandria: SmPdAu after structural relaxation (PBE).

The structure belongs to space group P3m1 (No. 156); the cell edges are 4.6382, 4.6382 and 3.5881 Å and the angles 90.00°, 90.00° and 120.00°. The asymmetric unit holds Sm at (0.0000, 0.0000, 0.0000), Pd at (0.3333, 0.6667, 0.5011) and Au at (0.6667, 0.3333, 0.4995).

As for the formation energy from the elements: -218 kJ/mol of formula units. For the magnetic moment, the calculation gives 0.00 μB/cell. The distance to the lowest polymorph of the same formula comes out at 69 meV/atom.